No. 1
This record from Alexandria describes a relaxed RbBi3O crystal. The functional is PBE-GGA.

Offset from the most stable computed form (meV/atom): 2014
Space group: No. 221
N(E_F) (states/eV/cell): 13.64

a = 6.231 Å, b = 6.231 Å, c = 6.231 Å
α = 90.00°, β = 90.00°, γ = 90.00°
Atoms (fractional coordinates):
O 0.500 0.500 0.500
Bi 0.000 0.500 0.000
Bi 0.000 0.000 0.500
Bi 0.500 0.000 0.000
Rb 0.000 0.000 0.000

---

No. 2
This record from Alexandria describes a relaxed RbBiO3 crystal. The functional is PBE-GGA.

Space group: No. 15
N(E_F) (states/eV/cell): 0.00

a = 14.114 Å, b = 8.486 Å, c = 8.486 Å
α = 97.89°, β = 133.52°, γ = 46.48°
Atoms (fractional coordinates):
O 0.420 0.423 0.436
O 0.080 0.936 0.923
O 0.580 0.577 0.564
O 0.920 0.064 0.077
O 0.059 0.232 0.173
O 0.441 0.673 0.732
O 0.941 0.768 0.827
O 0.559 0.327 0.268
O 0.650 0.829 0.880
O 0.850 0.380 0.329
O 0.350 0.171 0.120
O 0.150 0.620 0.671
Bi 0.750 0.172 0.672
Bi 0.250 0.828 0.328
Bi 0.750 0.506 0.006
Bi 0.250 0.494 0.994
Rb 0.203 0.399 0.386
Rb 0.297 0.886 0.899
Rb 0.797 0.601 0.614
Rb 0.703 0.114 0.101

---

No. 3
This record from Alexandria describes a relaxed Rb4BiO4 crystal. The functional is PBE-GGA.

Space group: No. 137
N(E_F) (states/eV/cell): 4.00

a = 6.779 Å, b = 8.038 Å, c = 8.038 Å
α = 90.00°, β = 90.00°, γ = 90.00°
Site moments in Bohr magnetons follow the coordinates.
Atoms (fractional coordinates):
Rb 0.390 0.284 0.000  0.00
Rb 0.890 0.500 0.784  0.00
Rb 0.390 0.716 0.000  0.00
Rb 0.110 0.216 0.500  0.00
Rb 0.610 0.000 0.716  0.00
Rb 0.110 0.784 0.500  0.00
Rb 0.890 0.500 0.216  0.00
Rb 0.610 0.000 0.284  0.00
Bi 0.000 0.000 0.000  0.05
Bi 0.500 0.500 0.500  0.05
O 0.695 0.713 0.500  0.17
O 0.695 0.287 0.500  0.17
O 0.195 0.000 0.787  0.17
O 0.805 0.213 0.000  0.17
O 0.805 0.787 0.000  0.17
O 0.305 0.500 0.287  0.17
O 0.305 0.500 0.713  0.17
O 0.195 0.000 0.213  0.17

---

No. 4
This record from Alexandria describes a relaxed Rb2Bi2O5 crystal. The functional is PBE-GGA.

Space group: No. 123
N(E_F) (states/eV/cell): 2.50

a = 4.372 Å, b = 4.372 Å, c = 9.126 Å
α = 90.00°, β = 90.00°, γ = 90.00°
Atoms (fractional coordinates):
Rb 0.000 0.000 0.000
Rb 0.000 0.000 0.500
Bi 0.500 0.500 0.267
Bi 0.500 0.500 0.733
O 0.500 0.000 0.231
O 0.500 0.000 0.769
O 0.500 0.500 0.500
O 0.000 0.500 0.231
O 0.000 0.500 0.769

---

No. 5
This record from Alexandria describes a relaxed RbBiO2 crystal. The functional is PBE-GGA.

Space group: No. 160

a = 3.630 Å, b = 3.630 Å, c = 7.065 Å
α = 75.11°, β = 75.11°, γ = 60.00°
Atoms (fractional coordinates):
Rb 0.496 0.496 0.511
Bi 0.667 0.667 0.998
O 0.065 0.065 0.805
O 0.271 0.271 0.187

---

No. 6
This record from Alexandria describes a relaxed RbBiO3 crystal. The functional is PBE-GGA.

Space group: No. 2
N(E_F) (states/eV/cell): 4.82

a = 4.374 Å, b = 8.416 Å, c = 6.436 Å
α = 98.71°, β = 88.66°, γ = 120.48°
Site moments in Bohr magnetons follow the coordinates.
Atoms (fractional coordinates):
Rb 0.158 0.436 0.502  0.00
Rb 0.743 0.979 0.937  0.00
O 0.892 0.718 0.628  0.36
O 0.708 0.962 0.411  -0.01
O 0.450 0.207 0.720  0.01
O 0.451 0.208 0.220  0.04
O 0.009 0.697 0.810  0.36
O 0.193 0.453 0.027  -0.01
Bi 0.254 0.008 0.436  0.01
Bi 0.647 0.406 0.002  0.01

---

No. 7
This record from Alexandria describes a relaxed RbBiO3 crystal. The functional is PBE-GGA.

Space group: No. 194
N(E_F) (states/eV/cell): 0.00

a = 3.976 Å, b = 3.976 Å, c = 14.571 Å
α = 90.00°, β = 90.00°, γ = 120.00°
Atoms (fractional coordinates):
O 0.000 0.000 0.250
O 0.000 0.000 0.750
O 0.333 0.667 0.886
O 0.333 0.667 0.614
O 0.667 0.333 0.386
O 0.667 0.333 0.114
Bi 0.333 0.667 0.750
Bi 0.667 0.333 0.250
Rb 0.000 0.000 0.000
Rb 0.000 0.000 0.500

---

No. 8
This record from Alexandria describes a relaxed RbBiO3 crystal. The functional is PBE-GGA.

Space group: No. 64
N(E_F) (states/eV/cell): 5.06

a = 22.455 Å, b = 6.447 Å, c = 8.550 Å
α = 90.00°, β = 160.42°, γ = 90.00°
Site moments in Bohr magnetons follow the coordinates.
Atoms (fractional coordinates):
O 0.227 0.945 0.727  0.00
O 0.773 0.055 0.273  0.00
O 0.273 0.445 0.773  0.00
O 0.727 0.555 0.227  0.00
O 0.377 0.250 0.377  0.01
O 0.623 0.750 0.623  0.01
O 0.123 0.750 0.123  0.01
O 0.877 0.250 0.877  0.01
O 0.539 0.947 0.039  0.38
O 0.461 0.053 0.961  0.38
O 0.961 0.447 0.461  0.38
O 0.039 0.553 0.539  0.38
Bi 0.157 0.248 0.657  0.00
Bi 0.843 0.752 0.343  0.00
Bi 0.343 0.748 0.843  0.00
Bi 0.657 0.252 0.157  0.00
Rb 0.375 0.750 0.375  0.01
Rb 0.625 0.250 0.625  0.01
Rb 0.125 0.250 0.125  0.01
Rb 0.875 0.750 0.875  0.01

---

Number 1: ΔE_f (raw) 1.8527 eV per atom, calculated total energy -1.66 eV per atom. Number 2: ΔE_f (raw) -1.0542 eV per atom, calculated total energy -5.00 eV per atom. Number 3: ΔE_f (raw) -1.2000 eV per atom, calculated total energy -4.26 eV per atom. Number 4: ΔE_f (raw) -1.1683 eV per atom, calculated total energy -5.00 eV per atom. Number 5: ΔE_f (raw) -1.2237 eV per atom, calculated total energy -4.91 eV per atom. Number 6: ΔE_f (raw) -1.0459 eV per atom, calculated total energy -4.99 eV per atom. Number 7: ΔE_f (raw) -0.8907 eV per atom, calculated total energy -4.84 eV per atom. Number 8: ΔE_f (raw) -1.0475 eV per atom, calculated total energy -4.99 eV per atom.